Record 1
Density functional theory data (PBE) for an optimized crystal structure of Pm12Pt3N5.

* space group: Ia-3d (230)
* uncorrected energy: -543.24 eV per cell

Cell: 13.617 13.617 13.617 Å, 109.47 109.47 109.47°
Atoms (fractional coordinates):
Pm 0.096 0.182 0.478
Pm 0.704 0.118 0.022
Pt 0.125 0.250 0.875
Pm 0.404 0.382 0.586
Pt 0.625 0.375 0.750
Pm 0.382 0.978 0.796
Pm 0.318 0.522 0.404
Pm 0.118 0.414 0.096
Pm 0.596 0.618 0.414
Pm 0.414 0.118 0.596
Pm 0.522 0.204 0.118
N 0.625 0.750 0.875
Pm 0.586 0.704 0.682
Pm 0.618 0.596 0.914
Pt 0.250 0.625 0.875
Pm 0.704 0.586 0.182
Pm 0.086 0.904 0.382
N 0.750 0.625 0.375
N 0.875 0.250 0.625
N 0.125 0.375 0.250
N 0.250 0.375 0.625
Pm 0.478 0.682 0.096
N 0.500 0.500 0.000
Pm 0.118 0.704 0.522
Pm 0.882 0.296 0.478
Pm 0.596 0.978 0.682
Pt 0.875 0.750 0.125
Pm 0.086 0.182 0.204
Pm 0.022 0.618 0.704
N 0.625 0.875 0.250
Pt 0.875 0.125 0.250
Pm 0.414 0.296 0.318
Pm 0.796 0.318 0.914
Pm 0.586 0.882 0.404
Pm 0.818 0.914 0.296
Pm 0.882 0.586 0.904
Pt 0.375 0.750 0.625
Pm 0.204 0.522 0.618
Pm 0.318 0.796 0.414
Pt 0.250 0.125 0.375
Pm 0.978 0.596 0.182
N 0.500 0.000 0.500
Pt 0.125 0.875 0.750
Pm 0.904 0.086 0.882
Pm 0.478 0.796 0.882
Pm 0.914 0.818 0.796
Pm 0.914 0.096 0.618
Pm 0.796 0.478 0.382
N 0.750 0.125 0.875
Pm 0.522 0.318 0.904
Pm 0.296 0.882 0.978
N 0.125 0.750 0.375
Pm 0.182 0.086 0.704
N 0.500 0.500 0.500
Pm 0.022 0.404 0.818
N 0.000 0.000 0.500
N 0.500 0.000 0.000
N 0.375 0.125 0.750
Pt 0.375 0.625 0.250
N 0.000 0.500 0.000
Pm 0.682 0.204 0.586
Pm 0.904 0.818 0.522
Pm 0.618 0.022 0.204
N 0.000 0.500 0.500
Pm 0.978 0.382 0.296
Pm 0.382 0.404 0.086
Pm 0.818 0.904 0.022
Pt 0.750 0.875 0.625
Pm 0.182 0.096 0.978
Pm 0.204 0.682 0.086
Pt 0.625 0.250 0.375
N 0.875 0.625 0.750
Pt 0.750 0.375 0.125
Pm 0.682 0.478 0.596
N 0.250 0.875 0.125
N 0.000 0.000 0.000
N 0.375 0.250 0.125
Pm 0.404 0.022 0.318
Pm 0.096 0.914 0.118
Pm 0.296 0.414 0.818

***

Record 2
Density functional theory data (PBE) for an optimized crystal structure of Pm7Pt4N.

* space group: C2/m (12)
* uncorrected energy: -76.57 eV per cell

Cell: 4.948 8.642 8.067 Å, 80.75 72.14 73.36°
Atoms (fractional coordinates):
Pt 0.725 0.637 0.913
Pm 0.639 0.444 0.279
Pt 0.583 0.213 0.620
Pt 0.417 0.787 0.380
N 0.000 0.000 0.000
Pm 0.361 0.556 0.721
Pm 0.939 0.256 0.865
Pm 0.061 0.744 0.135
Pm 0.218 0.145 0.418
Pm 0.782 0.855 0.582
Pt 0.275 0.363 0.087
Pm 0.500 0.000 0.000